The following is a PBE-GGA calculation of crystalline K2TaF6 at its relaxed geometry, from OQMD.

VASP energy   -5.67 eV per atom
Crystal system   hexagonal
Total magnetization   0.11 μB per atom

Lattice parameters (Å, degrees): 5.5700 5.5700 8.9278 90.00 90.00 120.00
Space group P6_3mc (No. 186)
Asymmetric unit:
K (0.0000, 0.0000, 0.0000) [2 per cell]
K (0.3333, 0.6667, 0.2371) [2 per cell]
Ta (0.3333, 0.6667, 0.8485) [2 per cell]
F (0.0072, 0.5036, 0.9843) [6 per cell]
F (0.1591, 0.3183, 0.7339) [6 per cell]